(1)
Compound: Dy3Mg2Hg3
Source: Alexandria via LeMat-Bulk
Functional: PBE
Structure: optimized geometry

The total energy is -2.5681 eV/atom. The calculated formation energy comes out at -32 kJ per mole of atoms.

Cell lengths 10.9347, 10.9347, 10.9347 Å; angles 160.58, 152.24, 34.10 degrees
With the nearest neighbours (Å) after each atom.
Positions (direct):
Dy (0.0000, 0.0000, 0.0000)  8 Hg 3.21-3.23
Dy (0.3753, 0.8753, 0.5000)  6 Hg 3.19-3.21, 4 Mg 3.40-3.54
Dy (0.6247, 0.1247, 0.5000)  6 Hg 3.19-3.21, 4 Mg 3.40-3.54
Mg (0.2385, 0.2385, 0.0000)  2 Hg 2.98, 4 Mg 3.24
Mg (0.7615, 0.7615, 0.0000)  2 Hg 2.98, 4 Mg 3.24
Hg (0.1266, 0.6266, 0.5000)  2 Mg 2.98, 6 Dy 3.21-3.23
Hg (0.5000, 0.5000, 0.0000)  8 Dy 3.19-3.21
Hg (0.8734, 0.3734, 0.5000)  2 Mg 2.98, 6 Dy 3.21-3.23

***

(2)
Compound: DyMg11Hg
Source: Alexandria via LeMat-Bulk
Functional: PBE
Structure: optimized geometry

The total energy is -1.7917 eV/atom. The calculated formation energy comes out at -6 kJ per mole of atoms.

Cell lengths 7.7542, 7.7542, 7.6913 Å; angles 97.97, 97.97, 135.30 degrees
With the nearest neighbours (Å) after each atom.
Positions (direct):
Dy (0.0000, 0.0000, 0.0000)  18 Mg 3.55-3.88, 2 Hg 3.90
Mg (0.0000, 0.0000, 0.5000)  2 Hg 2.95, 8 Mg 2.97-3.07
Mg (0.0004, 0.3479, 0.3522)  8 Mg 3.04-3.33, 1 Hg 3.10
Mg (0.0000, 0.5000, 0.0000)  10 Mg 2.95-3.14
Mg (0.9996, 0.6521, 0.6478)  8 Mg 3.04-3.33, 1 Hg 3.10
Mg (0.2906, 0.4998, 0.7867)  1 Hg 2.91, 6 Mg 2.97-3.25
Mg (0.3479, 0.0004, 0.3522)  8 Mg 3.04-3.33, 1 Hg 3.10
Mg (0.5000, 0.0000, 0.0000)  10 Mg 2.95-3.14
Mg (0.4998, 0.2906, 0.7867)  1 Hg 2.91, 6 Mg 2.97-3.25
Mg (0.5002, 0.7094, 0.2133)  1 Hg 2.91, 6 Mg 2.97-3.25
Mg (0.6521, 0.9996, 0.6478)  8 Mg 3.04-3.33, 1 Hg 3.10
Mg (0.7094, 0.5002, 0.2133)  1 Hg 2.91, 6 Mg 2.97-3.25
Hg (0.5000, 0.5000, 0.5000)  10 Mg 2.91-3.10

***

(3)
Compound: Dy3MgHg
Source: Alexandria via LeMat-Bulk
Functional: PBE
Structure: optimized geometry

The total energy is -3.2366 eV/atom. The calculated formation energy comes out at -9 kJ per mole of atoms.

Cell lengths 6.7911, 6.7911, 14.8844 Å; angles 95.44, 95.44, 56.81 degrees
With the nearest neighbours (Å) after each atom.
Positions (direct):
Dy (0.0222, 0.6373, 0.2047)  2 Hg 3.12-3.21, 3 Dy 3.45-3.47
Dy (0.0434, 0.8301, 0.8882)  2 Hg 3.07, 2 Mg 3.20-3.31, 1 Dy 3.37
Dy (0.1338, 0.4790, 0.6023)  2 Hg 3.08-3.16, 2 Mg 3.30-3.40, 3 Dy 3.35-3.44
Dy (0.1699, 0.9566, 0.6118)  2 Hg 3.07, 2 Mg 3.20-3.31, 1 Dy 3.37
Dy (0.3627, 0.9778, 0.2953)  2 Hg 3.12-3.21, 3 Dy 3.45-3.47
Dy (0.4790, 0.1338, 0.1023)  2 Hg 3.08-3.16, 2 Mg 3.30-3.40, 3 Dy 3.35-3.44
Dy (0.5210, 0.8662, 0.8977)  2 Hg 3.08-3.16, 2 Mg 3.30-3.40, 3 Dy 3.35-3.44
Dy (0.6373, 0.0222, 0.7047)  2 Hg 3.12-3.21, 3 Dy 3.45-3.47
Dy (0.8301, 0.0434, 0.3882)  2 Hg 3.07, 2 Mg 3.20-3.31, 1 Dy 3.37
Dy (0.8662, 0.5210, 0.3977)  2 Hg 3.08-3.16, 2 Mg 3.30-3.40, 3 Dy 3.35-3.44
Dy (0.9566, 0.1699, 0.1118)  2 Hg 3.07, 2 Mg 3.20-3.31, 1 Dy 3.37
Dy (0.9778, 0.3627, 0.7953)  2 Hg 3.12-3.21, 3 Dy 3.45-3.47
Mg (0.3315, 0.5617, 0.4168)  1 Hg 2.90, 1 Mg 3.05, 1 Dy 3.20
Mg (0.4383, 0.6685, 0.0832)  1 Hg 2.90, 1 Mg 3.05, 1 Dy 3.20
Mg (0.5617, 0.3315, 0.9168)  1 Hg 2.90, 1 Mg 3.05, 1 Dy 3.20
Mg (0.6685, 0.4383, 0.5832)  1 Hg 2.90, 1 Mg 3.05, 1 Dy 3.20
Hg (0.0000, 0.5000, 0.0000)  6 Dy 3.07-3.16
Hg (0.4274, 0.5726, 0.7500)  2 Mg 2.90, 6 Dy 3.07-3.21
Hg (0.5000, 0.0000, 0.5000)  6 Dy 3.07-3.16
Hg (0.5726, 0.4274, 0.2500)  2 Mg 2.90, 6 Dy 3.07-3.21

***

(4)
Compound: Dy2MgHg4
Source: Alexandria via LeMat-Bulk
Functional: PBE
Structure: optimized geometry

The total energy is -2.0416 eV/atom. The calculated formation energy comes out at -32 kJ per mole of atoms.

Cell lengths 8.8486, 8.8486, 8.8486 Å; angles 32.75, 32.75, 32.75 degrees
With the nearest neighbours (Å) after each atom.
Positions (direct):
Dy (0.2502, 0.2502, 0.2502)  8 Hg 3.06-3.15
Dy (0.7498, 0.7498, 0.7498)  8 Hg 3.06-3.15
Mg (0.0000, 0.0000, 0.0000)  8 Hg 3.07-3.21
Hg (0.1278, 0.1278, 0.1278)  4 Dy 3.07-3.09, 1 Mg 3.21
Hg (0.3757, 0.3757, 0.3757)  4 Dy 3.06-3.15, 3 Mg 3.07
Hg (0.6243, 0.6243, 0.6243)  4 Dy 3.06-3.15, 3 Mg 3.07
Hg (0.8722, 0.8722, 0.8722)  4 Dy 3.07-3.09, 1 Mg 3.21

***

(5)
Compound: DyMg2Hg3
Source: Alexandria via LeMat-Bulk
Functional: PBE
Structure: optimized geometry

The total energy is -1.8185 eV/atom. The calculated formation energy comes out at -36 kJ per mole of atoms.

Cell lengths 5.0366, 5.0366, 12.3684 Å; angles 90.00, 90.00, 120.00 degrees
With the nearest neighbours (Å) after each atom.
Positions (direct):
Dy (0.3333, 0.6667, 0.1638)  8 Hg 3.07-3.14
Dy (0.6667, 0.3333, 0.8362)  8 Hg 3.07-3.14
Mg (0.0000, 0.0000, 0.0000)  8 Hg 3.09-3.21
Mg (0.0000, 0.0000, 0.5000)  8 Hg 2.98-3.08
Mg (0.3333, 0.6667, 0.6633)  8 Hg 3.04-3.11
Mg (0.6667, 0.3333, 0.3367)  8 Hg 3.04-3.11
Hg (0.0000, 0.0000, 0.2593)  5 Mg 2.98-3.21, 3 Dy 3.14
Hg (0.0000, 0.0000, 0.7407)  5 Mg 2.98-3.21, 3 Dy 3.14
Hg (0.3333, 0.6667, 0.4177)  7 Mg 3.04-3.08, 1 Dy 3.14
Hg (0.3333, 0.6667, 0.9149)  4 Dy 3.07-3.08, 4 Mg 3.09-3.11
Hg (0.6667, 0.3333, 0.0851)  4 Dy 3.07-3.08, 4 Mg 3.09-3.11
Hg (0.6667, 0.3333, 0.5823)  7 Mg 3.04-3.08, 1 Dy 3.14

***

(6)
Compound: DyMg2Hg3
Source: Alexandria via LeMat-Bulk
Functional: PBE
Structure: optimized geometry

The total energy is -1.8113 eV/atom. The calculated formation energy comes out at -35 kJ per mole of atoms.

Cell lengths 4.9621, 4.9621, 6.4096 Å; angles 90.00, 90.00, 120.00 degrees
With the nearest neighbours (Å) after each atom.
Positions (direct):
Dy (0.0000, 0.0000, 0.0000)  8 Hg 3.11-3.20
Mg (0.3333, 0.6667, 0.6717)  8 Hg 3.00-3.32
Mg (0.6667, 0.3333, 0.3283)  8 Hg 3.00-3.32
Hg (0.0000, 0.0000, 0.5000)  6 Mg 3.07, 2 Dy 3.20
Hg (0.3333, 0.6667, 0.1900)  5 Mg 3.00-3.32, 3 Dy 3.11
Hg (0.6667, 0.3333, 0.8100)  5 Mg 3.00-3.32, 3 Dy 3.11

***

(7)
Compound: Dy4Mg3Hg
Source: Alexandria via LeMat-Bulk
Functional: PBE
Structure: optimized geometry

The total energy is -3.1165 eV/atom. The calculated formation energy comes out at -17 kJ per mole of atoms.

Cell lengths 3.7858, 3.7858, 14.9385 Å; angles 90.00, 90.00, 90.00 degrees
With the nearest neighbours (Å) after each atom.
Positions (direct):
Dy (0.0000, 0.0000, 0.1212)  4 Hg 3.23, 4 Mg 3.29
Dy (0.0000, 0.0000, 0.3727)  8 Mg 3.25-3.28
Dy (0.0000, 0.0000, 0.6273)  8 Mg 3.25-3.28
Dy (0.0000, 0.0000, 0.8788)  4 Hg 3.23, 4 Mg 3.29
Mg (0.5000, 0.5000, 0.2495)  8 Dy 3.25-3.29
Mg (0.5000, 0.5000, 0.5000)  8 Dy 3.28
Mg (0.5000, 0.5000, 0.7505)  8 Dy 3.25-3.29
Hg (0.5000, 0.5000, 0.0000)  8 Dy 3.23

***

(8)
Compound: DyMg2Hg6
Source: Alexandria via LeMat-Bulk
Functional: PBE
Structure: optimized geometry

The total energy is -1.2857 eV/atom. The calculated formation energy comes out at -21 kJ per mole of atoms.

Cell lengths 8.9911, 8.9911, 5.4300 Å; angles 97.57, 97.57, 76.83 degrees
With the nearest neighbours (Å) after each atom.
Positions (direct):
Dy (0.1298, 0.8702, 0.7500)  10 Hg 3.17-3.28
Dy (0.8702, 0.1298, 0.2500)  10 Hg 3.17-3.28
Mg (0.2142, 0.4645, 0.9103)  10 Hg 3.01-3.23
Mg (0.4645, 0.2142, 0.4103)  10 Hg 3.01-3.23
Mg (0.5355, 0.7858, 0.5897)  10 Hg 3.01-3.23
Mg (0.7858, 0.5355, 0.0897)  10 Hg 3.01-3.23
Hg (0.0066, 0.7580, 0.1989)  2 Mg 3.08-3.22, 5 Hg 3.11-3.27, 3 Dy 3.17-3.28
Hg (0.1002, 0.3573, 0.3463)  5 Hg 3.00-3.22, 4 Mg 3.05-3.23, 1 Dy 3.18
Hg (0.2420, 0.9934, 0.3011)  2 Mg 3.08-3.22, 5 Hg 3.11-3.27, 3 Dy 3.17-3.28
Hg (0.3216, 0.5674, 0.4710)  5 Hg 3.00-3.24, 4 Mg 3.01-3.15, 1 Dy 3.18
Hg (0.3573, 0.1002, 0.8463)  5 Hg 3.00-3.22, 4 Mg 3.05-3.23, 1 Dy 3.18
Hg (0.4326, 0.6784, 0.0290)  5 Hg 3.00-3.24, 4 Mg 3.01-3.15, 1 Dy 3.18
Hg (0.5674, 0.3216, 0.9710)  5 Hg 3.00-3.24, 4 Mg 3.01-3.15, 1 Dy 3.18
Hg (0.6427, 0.8998, 0.1537)  5 Hg 3.00-3.22, 4 Mg 3.05-3.23, 1 Dy 3.18
Hg (0.6784, 0.4326, 0.5290)  5 Hg 3.00-3.24, 4 Mg 3.01-3.15, 1 Dy 3.18
Hg (0.7580, 0.0066, 0.6989)  2 Mg 3.08-3.22, 5 Hg 3.11-3.27, 3 Dy 3.17-3.28
Hg (0.8998, 0.6427, 0.6537)  5 Hg 3.00-3.22, 4 Mg 3.05-3.23, 1 Dy 3.18
Hg (0.9934, 0.2420, 0.8011)  2 Mg 3.08-3.22, 5 Hg 3.11-3.27, 3 Dy 3.17-3.28